Record 1
The following is a DFT calculation (PBE-GGA) of a geometry-optimized ZnTc2AsPb structure.

abc: 4.703 4.665 4.703
angles: 90.00 90.00 90.00
Site moments in Bohr magnetons follow the coordinates.
Positions (direct):
Tc1 0.000 0.000 0.500  1.06
Tc2 0.500 0.000 0.000  1.14
As1 0.000 0.000 0.000  -0.03
Zn1 0.000 0.500 0.000  0.01
Pb1 0.500 0.500 0.500  -0.01

Crystal system: tetragonal
Volume (A^3/atom): 20.6
ΔH_f (0 K) (eV per atom): 0.845

---

Record 2
The following is a DFT calculation (PBE-GGA) of a geometry-optimized Ta2OsSe structure.

abc: 4.671 4.671 3.094
angles: 90.00 90.00 98.38
Positions (direct):
Ta1 0.000 0.000 0.000
Ta2 0.500 0.500 0.000
Se1 0.000 0.500 0.500
Os1 0.500 0.000 0.500

Crystal system: orthorhombic
Volume (A^3/atom): 16.7
Formation energy without anion corrections (eV/f.u.): 0.16